Compound: Pu4CoSn8
Source: Alexandria
Functional: PBE
Structure: relaxed

```
Pu4CoSn8
1.0
4.465 0.000 0.000
0.000 4.572 0.000
0.000 0.000 16.048
Pu Co Sn
4 1 8
direct
0.000 0.000 0.000
0.000 0.500 0.489
0.500 0.000 0.800
0.500 0.500 0.308
0.000 0.500 0.699
0.000 0.000 0.329
0.000 0.000 0.633
0.000 0.500 0.151
0.000 0.500 0.852
0.500 0.000 0.158
0.500 0.000 0.467
0.500 0.500 0.634
0.500 0.500 0.976
```

Output
crystal system: orthorhombic
raw total energy: -100.0 eV per formula unit
size of the total moment: 10.98 Bohr magnetons per cell
symmetry: Pmm2 (25)
density of states at the Fermi level: 49.33 states/eV/cell

=====

Compound: PuCoTcSn
Source: Alexandria
Functional: PBE
Structure: relaxed

```
PuCoTcSn
1.0
0.000 3.271 3.271
3.271 0.000 3.271
3.271 3.271 0.000
Pu Co Tc Sn
1 1 1 1
direct
0.000 0.000 0.000
0.250 0.250 0.250
0.750 0.750 0.750
0.500 0.500 0.500
```

Output
crystal system: cubic
raw total energy: -36.0 eV per formula unit
size of the total moment: 3.56 Bohr magnetons per cell
symmetry: F-43m (216)
density of states at the Fermi level: 4.44 states/eV/cell

=====

Compound: PuZnCoSn
Source: Alexandria
Functional: PBE
Structure: relaxed

```
PuZnCoSn
1.0
0.000 3.336 3.336
3.336 0.000 3.336
3.336 3.336 0.000
Pu Zn Co Sn
1 1 1 1
direct
0.000 0.000 0.000
0.750 0.750 0.750
0.250 0.250 0.250
0.500 0.500 0.500
```

Output
crystal system: cubic
raw total energy: -27.1 eV per formula unit
size of the total moment: 4.25 Bohr magnetons per cell
symmetry: F-43m (216)
density of states at the Fermi level: 7.88 states/eV/cell

=====

Compound: SrPuCo
Source: Alexandria
Functional: PBE
Structure: relaxed

```
SrPuCo
1.0
9.458 -2.164 0.000
9.458 2.164 0.000
-0.095 0.000 10.165
Sr Pu Co
4 4 4
direct
0.082 0.082 0.376
0.392 0.392 0.221
0.608 0.608 0.779
0.918 0.918 0.624
0.190 0.190 0.068
0.252 0.252 0.589
0.748 0.748 0.411
0.810 0.810 0.932
0.226 0.226 0.841
0.237 0.237 0.291
0.763 0.763 0.709
0.774 0.774 0.159
```

Output
crystal system: monoclinic
raw total energy: -22.4 eV per formula unit
size of the total moment: 19.61 Bohr magnetons per cell
symmetry: C2/m (12)
density of states at the Fermi level: 28.35 states/eV/cell

=====

Compound: PuTaCo10
Source: Alexandria
Functional: PBE
Structure: relaxed

```
PuTaCo10
1.0
3.969 0.000 0.000
0.000 4.730 0.000
0.000 0.000 8.275
Pu Ta Co
1 1 10
direct
0.000 0.000 0.000
0.000 0.500 0.500
0.000 0.000 0.342
0.000 0.000 0.658
0.000 0.500 0.179
0.000 0.500 0.821
0.500 0.000 0.500
0.500 0.254 0.258
0.500 0.254 0.742
0.500 0.500 0.000
0.500 0.746 0.258
0.500 0.746 0.742
```

Output
crystal system: orthorhombic
raw total energy: -97.2 eV per formula unit
size of the total moment: 7.86 Bohr magnetons per cell
symmetry: Pmmm (47)
density of states at the Fermi level: 19.11 states/eV/cell

=====

Compound: PuTaCo2
Source: Alexandria
Functional: PBE
Structure: relaxed

```
PuTaCo2
1.0
0.000 3.168 3.168
3.168 0.000 3.168
3.168 3.168 0.000
Pu Ta Co
1 1 2
direct
0.000 0.000 0.000
0.500 0.500 0.500
0.250 0.250 0.250
0.750 0.750 0.750
```

Output
crystal system: cubic
raw total energy: -39.8 eV per formula unit
size of the total moment: 4.03 Bohr magnetons per cell
symmetry: Fm-3m (225)
density of states at the Fermi level: 9.00 states/eV/cell

=====

Compound: PuTaCo2
Source: Alexandria
Functional: PBE
Structure: relaxed

```
PuTaCo2
1.0
3.054 0.000 0.000
0.000 3.054 0.000
0.000 0.000 6.955
Pu Ta Co
1 1 2
direct
0.000 0.000 0.000
0.000 0.000 0.500
0.500 0.500 0.302
0.500 0.500 0.698
```

Output
crystal system: tetragonal
raw total energy: -40.6 eV per formula unit
size of the total moment: 4.90 Bohr magnetons per cell
symmetry: P4/mmm (123)
density of states at the Fermi level: 10.08 states/eV/cell

=====

Compound: PuTa2Co
Source: Alexandria
Functional: PBE
Structure: relaxed

```
PuTa2Co
1.0
1.443 0.833 10.053
-1.443 0.833 10.053
0.000 -1.666 10.053
Pu Ta Co
1 2 1
direct
0.000 0.000 0.000
0.098 0.098 0.098
0.902 0.902 0.902
0.500 0.500 0.500
```

Output
crystal system: trigonal
raw total energy: -43.2 eV per formula unit
size of the total moment: 5.57 Bohr magnetons per cell
symmetry: R-3m (166)
density of states at the Fermi level: 8.28 states/eV/cell

=====

Compound: PuTaCo2
Source: Alexandria
Functional: PBE
Structure: relaxed

```
PuTaCo2
1.0
4.708 0.000 0.000
0.000 4.708 0.000
0.000 0.000 2.832
Pu Ta Co
1 1 2
direct
0.000 0.000 0.000
0.500 0.500 0.000
0.000 0.500 0.500
0.500 0.000 0.500
```

Output
crystal system: tetragonal
raw total energy: -40.1 eV per formula unit
size of the total moment: 4.03 Bohr magnetons per cell
symmetry: P4/mmm (123)
density of states at the Fermi level: 9.43 states/eV/cell

=====

Compound: PuTaCoTc
Source: Alexandria
Functional: PBE
Structure: relaxed

```
PuTaCoTc
1.0
0.000 3.227 3.227
3.227 0.000 3.227
3.227 3.227 0.000
Pu Ta Co Tc
1 1 1 1
direct
0.000 0.000 0.000
0.500 0.500 0.500
0.750 0.750 0.750
0.250 0.250 0.250
```

Output
crystal system: cubic
raw total energy: -43.6 eV per formula unit
size of the total moment: 4.09 Bohr magnetons per cell
symmetry: F-43m (216)
density of states at the Fermi level: 5.88 states/eV/cell

=====

Compound: TbPuCo
Source: Alexandria
Functional: PBE
Structure: relaxed

```
TbPuCo
1.0
4.202 0.000 0.000
-2.101 3.639 0.000
0.000 0.000 4.505
Tb Pu Co
1 1 1
direct
0.000 0.000 0.000
0.667 0.333 0.500
0.333 0.667 0.500
```

Output
crystal system: hexagonal
raw total energy: -25.5 eV per formula unit
size of the total moment: 5.47 Bohr magnetons per cell
symmetry: P-6m2 (187)
density of states at the Fermi level: 7.49 states/eV/cell

=====

Compound: TbPuCo
Source: Alexandria
Functional: PBE
Structure: relaxed

```
TbPuCo
1.0
0.000 3.297 3.297
3.297 0.000 3.297
3.297 3.297 0.000
Tb Pu Co
1 1 1
direct
0.000 0.000 0.000
0.500 0.500 0.500
0.750 0.750 0.750
```

Output
crystal system: cubic
raw total energy: -25.7 eV per formula unit
size of the total moment: 5.71 Bohr magnetons per cell
symmetry: F-43m (216)
density of states at the Fermi level: 9.48 states/eV/cell

=====

Compound: TbPuCo5
Source: Alexandria
Functional: PBE
Structure: relaxed

```
TbPuCo5
1.0
8.304 0.000 0.000
0.000 4.904 0.000
0.000 0.000 10.284
Tb Pu Co
4 4 20
direct
0.244 0.250 0.068
0.256 0.750 0.568
0.744 0.250 0.432
0.756 0.750 0.932
0.130 0.250 0.374
0.370 0.750 0.874
0.630 0.250 0.126
0.870 0.750 0.626
0.051 0.250 0.607
0.066 0.750 0.014
0.070 0.002 0.812
0.070 0.498 0.812
0.189 0.750 0.238
0.311 0.250 0.738
0.430 0.502 0.312
0.430 0.998 0.312
0.434 0.250 0.514
0.449 0.750 0.107
0.551 0.250 0.893
0.566 0.750 0.486
0.570 0.002 0.688
0.570 0.498 0.688
0.689 0.750 0.262
0.811 0.250 0.762
0.930 0.502 0.188
0.930 0.998 0.188
0.934 0.250 0.986
0.949 0.750 0.393
```

Output
crystal system: orthorhombic
raw total energy: -55.3 eV per formula unit
size of the total moment: 2.00 Bohr magnetons per cell
symmetry: Pnma (62)
density of states at the Fermi level: 36.91 states/eV/cell

=====

Compound: Tb3Pu2Co4
Source: Alexandria
Functional: PBE
Structure: relaxed

```
Tb3Pu2Co4
1.0
5.419 -1.981 0.000
5.419 1.981 0.000
-1.733 0.000 8.474
Tb Pu Co
3 2 4
direct
0.000 0.000 0.000
0.377 0.377 0.616
0.623 0.623 0.384
0.322 0.322 0.217
0.678 0.678 0.783
0.086 0.086 0.624
0.288 0.288 0.915
0.712 0.712 0.085
0.914 0.914 0.376
```

Output
crystal system: monoclinic
raw total energy: -72.2 eV per formula unit
size of the total moment: 8.30 Bohr magnetons per cell
symmetry: C2/m (12)
density of states at the Fermi level: 14.91 states/eV/cell

=====

Compound: Tb2PuCo
Source: Alexandria
Functional: PBE
Structure: relaxed

```
Tb2PuCo
1.0
1.779 1.027 10.136
-1.779 1.027 10.136
0.000 -2.054 10.136
Tb Pu Co
2 1 1
direct
0.112 0.112 0.112
0.888 0.888 0.888
0.000 0.000 0.000
0.500 0.500 0.500
```

Output
crystal system: trigonal
raw total energy: -29.6 eV per formula unit
size of the total moment: 6.49 Bohr magnetons per cell
symmetry: R-3m (166)
density of states at the Fermi level: 10.98 states/eV/cell

=====

Compound: TbPuCo
Source: Alexandria
Functional: PBE
Structure: relaxed

```
TbPuCo
1.0
3.899 0.000 0.000
0.000 5.281 0.000
0.000 0.000 6.928
Tb Pu Co
2 2 2
direct
0.250 0.250 0.082
0.750 0.750 0.918
0.250 0.250 0.561
0.750 0.750 0.439
0.250 0.750 0.220
0.750 0.250 0.780
```

Output
crystal system: orthorhombic
raw total energy: -25.9 eV per formula unit
size of the total moment: 11.08 Bohr magnetons per cell
symmetry: Pmmn (59)
density of states at the Fermi level: 15.13 states/eV/cell

=====

Compound: TbPu2Co
Source: Alexandria
Functional: PBE
Structure: relaxed

```
TbPu2Co
1.0
1.749 1.010 9.743
-1.749 1.010 9.743
0.000 -2.020 9.743
Tb Pu Co
1 2 1
direct
0.000 0.000 0.000
0.109 0.109 0.109
0.891 0.891 0.891
0.500 0.500 0.500
```

Output
crystal system: trigonal
raw total energy: -39.2 eV per formula unit
size of the total moment: 10.88 Bohr magnetons per cell
symmetry: R-3m (166)
density of states at the Fermi level: 14.57 states/eV/cell

=====

Compound: TbPu2Co
Source: Alexandria
Functional: PBE
Structure: relaxed

```
TbPu2Co
1.0
3.390 0.000 0.000
0.000 3.390 0.000
0.000 0.000 8.238
Tb Pu Co
1 2 1
direct
0.000 0.000 0.000
0.500 0.500 0.312
0.500 0.500 0.688
0.000 0.000 0.500
```

Output
crystal system: tetragonal
raw total energy: -39.9 eV per formula unit
size of the total moment: 10.52 Bohr magnetons per cell
symmetry: P4/mmm (123)
density of states at the Fermi level: 12.83 states/eV/cell

=====

Compound: Tb2PuCo9
Source: Alexandria
Functional: PBE
Structure: relaxed

```
Tb2PuCo9
1.0
2.482 1.433 8.145
-2.482 1.433 8.145
0.000 -2.866 8.145
Tb Pu Co
2 1 9
direct
0.139 0.139 0.139
0.861 0.861 0.861
0.000 0.000 0.000
0.079 0.582 0.582
0.334 0.334 0.334
0.418 0.418 0.921
0.418 0.921 0.418
0.500 0.500 0.500
0.582 0.079 0.582
0.582 0.582 0.079
0.666 0.666 0.666
0.921 0.418 0.418
```

Output
crystal system: trigonal
raw total energy: -88.2 eV per formula unit
size of the total moment: 14.88 Bohr magnetons per cell
symmetry: R-3m (166)
density of states at the Fermi level: 30.76 states/eV/cell

=====

Compound: Tb3PuCo8
Source: Alexandria
Functional: PBE
Structure: relaxed

```
Tb3PuCo8
1.0
2.494 1.440 8.427
-2.494 1.440 8.427
0.000 -2.880 8.427
Tb Pu Co
3 1 8
direct
0.000 0.000 0.000
0.124 0.124 0.124
0.500 0.500 0.500
0.622 0.622 0.622
0.061 0.061 0.565
0.061 0.562 0.562
0.061 0.565 0.061
0.310 0.310 0.310
0.562 0.061 0.562
0.562 0.562 0.061
0.565 0.061 0.061
0.811 0.811 0.811
```

Output
crystal system: trigonal
raw total energy: -86.9 eV per formula unit
size of the total moment: 4.20 Bohr magnetons per cell
symmetry: R3m (160)
density of states at the Fermi level: 17.42 states/eV/cell